A geometry-optimized Ce2Er3ScAs6 structure. Source: Alexandria, functional GGA-PBE.

Summary:
* total moment: 2.3 Bohr magnetons per cell
* energy relative to the elements: -1.45 eV/atom

Cell lengths 17.838, 4.104, 8.194 Å; angles 90.00, 103.35, 90.00 degrees
Space group C2/m (No. 12)
One atom of each set of equivalent atoms:
Ce 0.164 0.000 0.330
Er 0.000 0.500 0.500
Er 0.167 0.000 0.835
Sc 0.000 0.500 0.000
As 0.002 0.000 0.759
As 0.163 0.500 0.077
As 0.166 0.500 0.587

***

A geometry-optimized CeErAsSe structure. Source: Alexandria, functional GGA-PBE.

Summary:
* uncorrected formation energy: -1.66 eV/atom
* total moment: 3.1 Bohr magnetons per cell

Cell lengths 4.1354, 4.1354, 20.4280 Å; angles 90.00, 90.00, 120.00 degrees
Space group R3m (No. 160, hexagonal axes)
One atom of each set of equivalent atoms:
Ce 0.0000 0.0000 0.0000
Er 0.0000 0.0000 0.5056
As 0.0000 0.0000 0.2488
Se 0.0000 0.0000 0.7569

***

A geometry-optimized Ce2SmErAs4 structure. Source: Alexandria, functional GGA-PBE.

Summary:
* total moment: 1.3 Bohr magnetons per cell
* energy relative to the elements: -1.47 eV/atom

Cell lengths 7.235, 4.184, 7.249 Å; angles 90.00, 109.50, 90.00 degrees
Space group P2/m (No. 10)
One atom of each set of equivalent atoms:
Ce 0.000 0.000 0.000
Ce 0.000 0.500 0.500
Sm 0.500 0.000 0.500
Er 0.500 0.500 0.000
As 0.251 0.500 0.246
As 0.254 0.000 0.755

***

A geometry-optimized Ce3SmEr2As6 structure. Source: Alexandria, functional GGA-PBE.

Summary:
* total moment: 3.9 Bohr magnetons per cell
* energy relative to the elements: -1.47 eV/atom

Cell lengths 7.231, 12.523, 7.217 Å; angles 90.00, 109.53, 90.00 degrees
Space group C2/m (No. 12)
One atom of each set of equivalent atoms:
Ce 0.000 0.000 0.000
Ce 0.000 0.335 0.000
Sm 0.000 0.500 0.500
Er 0.000 0.167 0.500
As 0.244 0.000 0.745
As 0.249 0.169 0.253

***

A geometry-optimized SrCe2ErAs4 structure. Source: Alexandria, functional GGA-PBE.

Summary:
* total moment: 1.0 Bohr magnetons per cell
* energy relative to the elements: -1.36 eV/atom

Cell lengths 7.309, 4.247, 7.400 Å; angles 90.00, 109.48, 90.00 degrees
Space group P2/m (No. 10)
One atom of each set of equivalent atoms:
Sr 0.000 0.000 0.000
Ce 0.500 0.000 0.500
Ce 0.500 0.500 0.000
Er 0.000 0.500 0.500
As 0.252 0.000 0.739
As 0.264 0.500 0.267

***

A geometry-optimized Sr3CeEr2As6 structure. Source: Alexandria, functional GGA-PBE.

Summary:
* total moment: 0.0 Bohr magnetons per cell
* energy relative to the elements: -1.21 eV/atom

Cell lengths 7.391, 12.815, 7.543 Å; angles 90.00, 109.10, 90.00 degrees
Space group C2/m (No. 12)
One atom of each set of equivalent atoms:
Sr 0.000 0.000 0.000
Sr 0.000 0.333 0.000
Ce 0.000 0.500 0.500
Er 0.000 0.167 0.500
As 0.239 0.000 0.720
As 0.241 0.333 0.720

***

A geometry-optimized Sr2CeErAs4 structure. Source: Alexandria, functional GGA-PBE.

Summary:
* total moment: 0.0 Bohr magnetons per cell
* energy relative to the elements: -1.23 eV/atom

Cell lengths 7.400, 4.297, 7.553 Å; angles 90.00, 109.30, 90.00 degrees
Space group P2/m (No. 10)
One atom of each set of equivalent atoms:
Sr 0.000 0.000 0.000
Sr 0.500 0.500 0.000
Ce 0.000 0.500 0.500
Er 0.500 0.000 0.500
As 0.241 0.000 0.720
As 0.261 0.500 0.280

***

A geometry-optimized Tb2CeErAs4 structure. Source: Alexandria, functional GGA-PBE.

Summary:
* total moment: 0.5 Bohr magnetons per cell
* energy relative to the elements: -1.51 eV/atom

Cell lengths 7.167, 4.144, 7.175 Å; angles 90.00, 109.41, 90.00 degrees
Space group P2/m (No. 10)
One atom of each set of equivalent atoms:
Tb 0.000 0.000 0.000
Tb 0.500 0.500 0.000
Ce 0.000 0.500 0.500
Er 0.500 0.000 0.500
As 0.253 0.000 0.750
As 0.253 0.500 0.252

***

no.,uncorrected energy (eV/atom)
1,-6.4287
2,-6.3178
3,-6.4423
4,-6.4340
5,-5.9480
6,-5.2115
7,-5.2899
8,-6.3012